Entry from Alexandria via LeMat-Bulk: a relaxed SrCaSm2 crystal (PBE).

Cell lengths 12.831, 12.831, 12.831 Å; angles 16.90, 16.90, 16.90 degrees
Atoms (fractional coordinates):
Sr: 0.000 0.000 0.000
Ca: 0.500 0.500 0.500
Sm: 0.247 0.247 0.247
Sm: 0.753 0.753 0.753

**E_form**: 0.162 eV per atom
**Total magnetization**: 0.00 Bohr magnetons per cell
**Relative energy among the computed polymorphs**: 0 meV per atom
**VASP energy**: -3.119 eV per atom
**Space-group type**: R-3m, No. 166